# ZnSiTeN2 | Alexandria via LeMat-Bulk | PBE | optimized geometry
data_ZnSiTeN2
_space_group_name_H-M_alt 'P 4/m m m'
_space_group_IT_number 123
_space_group_name_Hall '-P 4 2'
_cell_length_a 3.5745
_cell_length_b 3.5745
_cell_length_c 6.8567
_cell_angle_alpha 90.00
_cell_angle_beta 90.00
_cell_angle_gamma 90.00
loop_
_atom_site_label
_atom_site_type_symbol
_atom_site_fract_x
_atom_site_fract_y
_atom_site_fract_z
Zn1 Zn 0.0000 0.0000 0.0000
Si1 Si 0.5000 0.5000 0.5000
Te1 Te 0.5000 0.5000 0.0000
N1 N 0.0000 0.5000 0.5000
# - E above lowest polymorph (meV per atom) = 0
# - calculated volume (Å³/cell) = 88
# - density of states at the Fermi level (states/eV/atom) = 0.4117